{"formula": "Sm3Be2Rh5", "functional": "PBE", "state": "optimized geometry", "e_form_ev_per_atom": -0.731, "dos_ef_per_ev_atom": 0.430, "e_tot_ev_per_atom": -6.57, "crystal_system": "tetragonal", "magmom_total_mub_per_fu": 0.0, "lattice": [[9.950, 0.000, 0.000], [0.000, 9.950, 0.000], [0.000, 0.000, 3.427]], "species": ["Sm", "Sm", "Sm", "Sm", "Sm", "Sm", "Be", "Be", "Be", "Be", "Rh", "Rh", "Rh", "Rh", "Rh", "Rh", "Rh", "Rh", "Rh", "Rh"], "frac_coords": [[0.000, 0.000, 0.000], [0.175, 0.325, 0.000], [0.325, 0.825, 0.000], [0.500, 0.500, 0.000], [0.675, 0.175, 0.000], [0.825, 0.675, 0.000], [0.119, 0.619, 0.000], [0.381, 0.119, 0.000], [0.619, 0.881, 0.000], [0.881, 0.381, 0.000], [0.000, 0.500, 0.500], [0.070, 0.774, 0.500], [0.226, 0.070, 0.500], [0.274, 0.570, 0.500], [0.430, 0.274, 0.500], [0.500, 0.000, 0.500], [0.570, 0.726, 0.500], [0.726, 0.430, 0.500], [0.774, 0.930, 0.500], [0.930, 0.226, 0.500]]}